(1)
## NaTl2F (PBE-GGA)

Data for a geometry-optimized NaTl2F structure.

Values from the calculation:
Space-group type: No. 122
Excess energy over the best structure of this formula in the dataset in eV/atom: 0.000
Energy relative to the elements, uncorrected in eV/atom: -0.7814
Total energy in eV/f.u.: -11.05
DOS(E_F) in states/eV/atom: 0.32

a b c (Å): 4.2972 4.2972 12.1400
angles (deg): 79.81 79.81 90.00
Fractional coordinates of all 8 atoms:
Na 0.0000 0.0000 0.0000
Na 0.7500 0.2500 0.5000
Tl 0.6157 0.1250 0.2500
Tl 0.1343 0.6250 0.2500
Tl 0.3750 0.3843 0.7500
Tl 0.8750 0.8657 0.7500
F 0.5000 0.5000 0.0000
F 0.2500 0.7500 0.5000

***

(2)
## BaCa2La (PBE-GGA)

Data for a geometry-optimized BaCa2La structure.

Values from the calculation:
Formation energy from the elements in eV per formula unit: 0.46
Space-group type: No. 25
Excess energy over the best structure of this formula in the dataset in eV/atom: 0.042
Total energy in eV/f.u.: -10.39
DOS(E_F) in states/eV/atom: 1.61

a b c (Å): 3.8572 5.8464 7.8932
angles (deg): 90.00 90.00 90.00
Fractional coordinates of all 4 atoms:
Ca 0.0000 0.0000 0.0090
Ca 0.5000 0.5000 0.2567
Ba 0.5000 0.5000 0.7457
La 0.0000 0.0000 0.4886

***

(3)
## AgAsRhBr2 (PBE-GGA)

Data for a geometry-optimized AgAsRhBr2 structure.

Values from the calculation:
Space-group type: No. 123
Excess energy over the best structure of this formula in the dataset in eV/atom: 0.000
Energy relative to the elements, uncorrected in eV/atom: 0.2336
Total energy in eV/f.u.: -17.03
DOS(E_F) in states/eV/atom: 0.22

a b c (Å): 5.3281 5.3281 4.5924
angles (deg): 90.00 90.00 90.00
Fractional coordinates of all 5 atoms:
As 0.0000 0.0000 0.5000
Rh 0.0000 0.0000 0.0000
Br 0.0000 0.5000 0.0000
Br 0.5000 0.0000 0.0000
Ag 0.5000 0.5000 0.5000

***

(4)
## Ca2TbTm2Te6 (PBE-GGA)

Data for a geometry-optimized Ca2TbTm2Te6 structure.

Values from the calculation:
Space-group type: No. 12
Energy relative to the elements, uncorrected in eV/atom: -1.4712
Total energy in eV/f.u.: -52.61
DOS(E_F) in states/eV/atom: 0.34

a b c (Å): 7.5479 7.5479 7.7466
angles (deg): 99.30 99.30 120.15
Fractional coordinates of all 11 atoms:
Ca 0.8354 0.1646 0.0000
Ca 0.1646 0.8354 0.0000
Tb 0.0000 0.0000 0.5000
Tm 0.3321 0.6679 0.5000
Tm 0.6679 0.3321 0.5000
Te 0.7389 0.7389 0.7421
Te 0.0835 0.4177 0.7425
Te 0.2611 0.2611 0.2579
Te 0.4177 0.0835 0.7425
Te 0.9165 0.5823 0.2575
Te 0.5823 0.9165 0.2575